No. 1
# GdScI | Alexandria via LeMat-Bulk | PBE-GGA | relaxed
# Formation energy (no corrections)   -163.3 meV/atom
# DOS at the Fermi energy   4.87 states/eV/f.u.
# Uncorrected energy   -7.48 eV/atom
data_GdScI
_cell_length_a 3.739
_cell_length_b 5.148
_cell_length_c 5.148
_cell_angle_alpha 120.00
_cell_angle_beta 90.00
_cell_angle_gamma 90.00
_symmetry_space_group_name_H-M 'P 1'
_symmetry_Int_Tables_number 1
_symmetry_space_group_name_Hall 'P 1'
loop_
_atom_site_label
_atom_site_type_symbol
_atom_site_fract_x
_atom_site_fract_y
_atom_site_fract_z
_atom_site_occupancy
Gd1 Gd 0.667 0.667 0.333 1
I1 I 0.167 0.333 0.667 1
Sc1 Sc 0.167 0.000 0.000 1

No. 2
# GdSeI | Alexandria via LeMat-Bulk | PBE-GGA | relaxed
# Formation energy (no corrections)   -1648.0 meV/atom
# ΔE to the lowest computed polymorph   0.0 meV per atom
# Uncorrected energy   -8.02 eV/atom
data_GdSeI
_cell_length_a 4.307
_cell_length_b 4.307
_cell_length_c 7.139
_cell_angle_alpha 90.00
_cell_angle_beta 90.00
_cell_angle_gamma 120.00
_symmetry_space_group_name_H-M 'P 1'
_symmetry_Int_Tables_number 1
_symmetry_space_group_name_Hall 'P 1'
loop_
_atom_site_label
_atom_site_type_symbol
_atom_site_fract_x
_atom_site_fract_y
_atom_site_fract_z
_atom_site_occupancy
Gd1 Gd 0.667 0.333 0.367 1
I1 I 0.000 0.000 0.082 1
Se1 Se 0.333 0.667 0.551 1

No. 3
# GdSeI | Alexandria via LeMat-Bulk | PBE-GGA | relaxed
# Formation energy (no corrections)   -1410.1 meV/atom
# ΔE to the lowest computed polymorph   237.9 meV per atom
# DOS at the Fermi energy   0.33 states/eV/f.u.
# Uncorrected energy   -7.78 eV/atom
data_GdSeI
_cell_length_a 3.741
_cell_length_b 3.741
_cell_length_c 7.592
_cell_angle_alpha 104.26
_cell_angle_beta 104.26
_cell_angle_gamma 90.00
_symmetry_space_group_name_H-M 'P 1'
_symmetry_Int_Tables_number 1
_symmetry_space_group_name_Hall 'P 1'
loop_
_atom_site_label
_atom_site_type_symbol
_atom_site_fract_x
_atom_site_fract_y
_atom_site_fract_z
_atom_site_occupancy
Gd1 Gd 0.687 0.687 0.373 1
I1 I 0.034 0.034 0.067 1
Se1 Se 0.280 0.280 0.560 1

No. 4
# Gd2SeI | Alexandria via LeMat-Bulk | PBE-GGA | relaxed
# Formation energy (no corrections)   -1291.4 meV/atom
# DOS at the Fermi energy   3.78 states/eV/f.u.
# Uncorrected energy   -9.59 eV/atom
data_Gd2SeI
_cell_length_a 4.109
_cell_length_b 4.109
_cell_length_c 8.092
_cell_angle_alpha 75.29
_cell_angle_beta 75.29
_cell_angle_gamma 60.00
_symmetry_space_group_name_H-M 'P 1'
_symmetry_Int_Tables_number 1
_symmetry_space_group_name_Hall 'P 1'
loop_
_atom_site_label
_atom_site_type_symbol
_atom_site_fract_x
_atom_site_fract_y
_atom_site_fract_z
_atom_site_occupancy
Gd1 Gd 0.733 0.733 0.800 1
Gd2 Gd 0.267 0.267 0.200 1
Se1 Se 0.000 0.000 0.000 1
I1 I 0.500 0.500 0.500 1

No. 5
# Gd2SiI | Alexandria via LeMat-Bulk | PBE-GGA | relaxed
# Formation energy (no corrections)   -918.8 meV/atom
# DOS at the Fermi energy   3.77 states/eV/f.u.
# Uncorrected energy   -9.70 eV/atom
data_Gd2SiI
_cell_length_a 4.248
_cell_length_b 4.248
_cell_length_c 7.841
_cell_angle_alpha 74.28
_cell_angle_beta 74.28
_cell_angle_gamma 60.00
_symmetry_space_group_name_H-M 'P 1'
_symmetry_Int_Tables_number 1
_symmetry_space_group_name_Hall 'P 1'
loop_
_atom_site_label
_atom_site_type_symbol
_atom_site_fract_x
_atom_site_fract_y
_atom_site_fract_z
_atom_site_occupancy
I1 I 0.500 0.500 0.500 1
Gd1 Gd 0.732 0.732 0.805 1
Gd2 Gd 0.268 0.268 0.195 1
Si1 Si 0.000 0.000 0.000 1

No. 6
# SmGdI2 | Alexandria via LeMat-Bulk | PBE-GGA | relaxed
# Formation energy (no corrections)   -694.9 meV/atom
# DOS at the Fermi energy   5.31 states/eV/f.u.
# Uncorrected energy   -6.17 eV/atom
data_SmGdI2
_cell_length_a 3.892
_cell_length_b 3.892
_cell_length_c 11.032
_cell_angle_alpha 79.84
_cell_angle_beta 79.84
_cell_angle_gamma 60.00
_symmetry_space_group_name_H-M 'P 1'
_symmetry_Int_Tables_number 1
_symmetry_space_group_name_Hall 'P 1'
loop_
_atom_site_label
_atom_site_type_symbol
_atom_site_fract_x
_atom_site_fract_y
_atom_site_fract_z
_atom_site_occupancy
I1 I 0.902 0.902 0.294 1
I2 I 0.098 0.098 0.706 1
Gd1 Gd 0.500 0.500 0.500 1
Sm1 Sm 0.000 0.000 0.000 1

No. 7
# GdSnI2 | Alexandria via LeMat-Bulk | PBE-GGA | relaxed
# Formation energy (no corrections)   -215.7 meV/atom
# DOS at the Fermi energy   4.62 states/eV/f.u.
# Uncorrected energy   -5.51 eV/atom
data_GdSnI2
_cell_length_a 3.941
_cell_length_b 3.941
_cell_length_c 11.444
_cell_angle_alpha 80.08
_cell_angle_beta 80.08
_cell_angle_gamma 60.00
_symmetry_space_group_name_H-M 'P 1'
_symmetry_Int_Tables_number 1
_symmetry_space_group_name_Hall 'P 1'
loop_
_atom_site_label
_atom_site_type_symbol
_atom_site_fract_x
_atom_site_fract_y
_atom_site_fract_z
_atom_site_occupancy
Gd1 Gd 0.000 0.000 0.000 1
Sn1 Sn 0.500 0.500 0.500 1
I1 I 0.911 0.911 0.266 1
I2 I 0.089 0.089 0.734 1

No. 8
# Gd2SnI | Alexandria via LeMat-Bulk | PBE-GGA | relaxed
# Formation energy (no corrections)   -813.3 meV/atom
# ΔE to the lowest computed polymorph   0.0 meV per atom
# DOS at the Fermi energy   6.27 states/eV/f.u.
# Uncorrected energy   -9.24 eV/atom
data_Gd2SnI
_cell_length_a 4.526
_cell_length_b 4.526
_cell_length_c 7.686
_cell_angle_alpha 72.88
_cell_angle_beta 72.88
_cell_angle_gamma 60.00
_symmetry_space_group_name_H-M 'P 1'
_symmetry_Int_Tables_number 1
_symmetry_space_group_name_Hall 'P 1'
loop_
_atom_site_label
_atom_site_type_symbol
_atom_site_fract_x
_atom_site_fract_y
_atom_site_fract_z
_atom_site_occupancy
I1 I 0.500 0.500 0.500 1
Sn1 Sn 0.000 0.000 0.000 1
Gd1 Gd 0.740 0.740 0.780 1
Gd2 Gd 0.260 0.260 0.220 1